A plane-wave DFT calculation with PBEsol was carried out for an optimized crystal structure of CoOs2W.

Unit cell a=2.7029 b=2.7029 c=7.3824 alpha=90.00 beta=90.00 gamma=90.00
With the nearest neighbours (Å) after each atom.
Space group P4/mmm (No. 123)
Unique sites:
Co: 0.0000 0.0000 0.0000  8 Os 2.56, 4 Co 2.70
Os: 0.5000 0.5000 0.2316  4 Co 2.56, 4 Os 2.70, 4 W 2.75
W: 0.0000 0.0000 0.5000  4 W 2.70, 8 Os 2.75

Calculated density   19.19 g/cm3
Crystal system   tetragonal
Energy of formation from the pure elements   0.176 eV/atom
Calculated volume   54 Å³/f.u.